# CsK2CrF5 (GGA+U, relaxed)
# SG: No. 71
# Electronic total energy, eV/atom: -4.91
data_CsK2CrF5
_space_group_name_H-M_alt 'P 1'
_space_group_IT_number 1
_space_group_name_Hall 'P 1'
_cell_length_a 7.211
_cell_length_b 7.211
_cell_length_c 7.211
_cell_angle_alpha 143.38
_cell_angle_beta 127.60
_cell_angle_gamma 65.62
loop_
_atom_site_label
_atom_site_fract_x
_atom_site_fract_y
_atom_site_fract_z
Cs1 0.000 0.000 0.000
K1 0.287 0.787 0.500
K2 0.713 0.213 0.500
Cr1 0.500 0.500 0.000
F1 0.151 0.375 0.777
F2 0.402 0.625 0.777
F3 0.500 0.000 0.500
F4 0.598 0.375 0.223
F5 0.849 0.625 0.223